Density functional theory data (PBE) for an optimized crystal structure of CdOsPt2.

a = 4.9363 Å, b = 4.9363 Å, c = 2.7872 Å
α = 90.00°, β = 90.00°, γ = 109.58°
Atoms (fractional coordinates):
Cd1 0.0000 0.0000 0.0000
Os1 0.5000 0.5000 0.0000
Pt1 0.0000 0.5000 0.5000
Pt2 0.5000 0.0000 0.5000

Energy of formation (eV/atom): 0.0975
Energy (hartree per atom): -0.2190
N(E_F) (states/eV per cell): 4.18



Density functional theory data (PBE) for an optimized crystal structure of Cd2OsPt.

a = 5.6137 Å, b = 5.6137 Å, c = 2.7748 Å
α = 103.27°, β = 103.27°, γ = 118.27°
Atoms (fractional coordinates):
Cd1 0.0000 0.5000 0.0000
Cd2 0.5000 0.0000 0.0000
Os1 0.0000 0.0000 0.5000
Pt1 0.5000 0.5000 0.5000

Energy of formation (eV/atom): 0.3263
Energy (hartree per atom): -0.1635
N(E_F) (states/eV per cell): 2.35



Density functional theory data (PBE) for an optimized crystal structure of CdOsPt.

a = 5.4136 Å, b = 5.4136 Å, c = 5.4136 Å
α = 150.63°, β = 138.03°, γ = 52.05°
Atoms (fractional coordinates):
Cd1 0.0000 0.0000 0.0000
Os1 0.6893 0.6893 0.0000
Pt1 0.3112 0.3112 0.0000

Energy of formation (eV/atom): 0.4219
Energy (hartree per atom): -0.2073
Polymorph energy (0 for the lowest one) (kcal/mol of atoms): 4.39
N(E_F) (states/eV per cell): 3.43



Density functional theory data (PBE) for an optimized crystal structure of Cd2OsPt.

a = 2.8759 Å, b = 2.8759 Å, c = 8.3782 Å
α = 90.00°, β = 90.00°, γ = 90.00°
Atoms (fractional coordinates):
Cd1 0.0000 0.0000 0.2475
Cd2 0.0000 0.0000 0.7525
Os1 0.5000 0.5000 0.5000
Pt1 0.5000 0.5000 0.0000

Energy of formation (eV/atom): 0.3017
Energy (hartree per atom): -0.1644
N(E_F) (states/eV per cell): 2.91



Density functional theory data (PBE) for an optimized crystal structure of Cd2OsPt.

a = 2.8374 Å, b = 2.8374 Å, c = 9.6292 Å
α = 90.00°, β = 90.00°, γ = 117.24°
Atoms (fractional coordinates):
Cd1 0.0000 0.0000 0.2505
Cd2 0.0000 0.0000 0.7495
Os1 0.5000 0.5000 0.0000
Pt1 0.5000 0.5000 0.5000

Energy of formation (eV/atom): 0.3102
Energy (hartree per atom): -0.1641
N(E_F) (states/eV per cell): 2.44



Density functional theory data (PBE) for an optimized crystal structure of CdOsPt2.

a = 2.8160 Å, b = 2.8160 Å, c = 8.1999 Å
α = 90.00°, β = 90.00°, γ = 90.00°
Atoms (fractional coordinates):
Cd1 0.0000 0.0000 0.0000
Os1 0.5000 0.5000 0.2683
Pt1 0.0000 0.0000 0.4874
Pt2 0.5000 0.5000 0.7369

Energy of formation (eV/atom): 0.1441
Energy (hartree per atom): -0.2173
N(E_F) (states/eV per cell): 3.55



Density functional theory data (PBE) for an optimized crystal structure of Cd2OsPt.

a = 4.1198 Å, b = 4.1198 Å, c = 4.0888 Å
α = 90.00°, β = 90.00°, γ = 90.00°
Atoms (fractional coordinates):
Cd1 0.0000 0.5000 0.0000
Cd2 0.5000 0.0000 0.0000
Os1 0.0000 0.0000 0.5000
Pt1 0.5000 0.5000 0.5000

Energy of formation (eV/atom): 0.3715
Energy (hartree per atom): -0.1618
N(E_F) (states/eV per cell): 3.85



Density functional theory data (PBE) for an optimized crystal structure of Cd3OsPt.

a = 5.0974 Å, b = 5.0974 Å, c = 5.0974 Å
α = 90.00°, β = 90.00°, γ = 90.00°
Atoms (fractional coordinates):
Cd1 0.0000 0.0000 0.5000
Cd2 0.0000 0.5000 0.0000
Cd3 0.5000 0.0000 0.0000
Os1 0.5000 0.5000 0.5000
Pt1 0.0000 0.0000 0.0000

Energy of formation (eV/atom): 1.2203
Energy (hartree per atom): -0.1023
Polymorph energy (0 for the lowest one) (kcal/mol of atoms): 0.00
N(E_F) (states/eV per cell): 10.24